VASP calculation (PBE-GGA) on a relaxed structure of In2TeSe.

Cell: 3.505 3.505 9.703 Å, 90.00 90.00 90.00°
Space group P4mm (No. 99)
Asymmetric unit:
In 0.000 0.000 0.000 (multiplicity 1)
In 0.500 0.500 0.260 (multiplicity 1)
Te 0.500 0.500 0.761 (multiplicity 1)
Se 0.000 0.000 0.400 (multiplicity 1)

Results
Calculated volume, A^3/atom: 29.801
Formation energy from raw total energies, eV per atom: -0.0451
Total magnetic moment, μB per formula unit: 0.000
ΔE to the lowest computed polymorph, eV/atom: 0.307

VASP calculation (PBE-GGA) on a relaxed structure of InTeSe3.

Cell: 5.419 5.419 5.419 Å, 90.00 90.00 90.00°
Space group Pm-3m (No. 221)
Asymmetric unit:
In 0.000 0.000 0.000 (multiplicity 1)
Te 0.500 0.500 0.500 (multiplicity 1)
Se 0.000 0.500 0.500 (multiplicity 3)

Results
Calculated volume, A^3/atom: 31.832
Formation energy from raw total energies, eV per atom: 0.2145
Total magnetic moment, μB per formula unit: 0.000
ΔE to the lowest computed polymorph, eV/atom: 0.440

VASP calculation (PBE-GGA) on a relaxed structure of In2TeSe.

Cell: 7.520 7.520 7.520 Å, 90.00 90.00 90.00°
Space group Fm-3m (No. 225)
Asymmetric unit:
In 0.250 0.250 0.250 (multiplicity 8)
Te 0.000 0.000 0.000 (multiplicity 4)
Se 0.000 0.000 0.500 (multiplicity 4)

Results
Calculated volume, A^3/atom: 26.580
Formation energy from raw total energies, eV per atom: -0.1159
Total magnetic moment, μB per formula unit: 0.000
ΔE to the lowest computed polymorph, eV/atom: 0.237

VASP calculation (PBE-GGA) on a relaxed structure of InTe2Se.

Cell: 3.690 3.690 7.679 Å, 90.00 90.00 90.00°
Space group P4/mmm (No. 123)
Asymmetric unit:
In 0.000 0.000 0.000 (multiplicity 1)
Te 0.500 0.500 0.252 (multiplicity 2)
Se 0.000 0.000 0.500 (multiplicity 1)

Results
Calculated volume, A^3/atom: 26.142
Formation energy from raw total energies, eV per atom: 0.2178
Total magnetic moment, μB per formula unit: 0.000